1.
Crystalline Nd7CdRu2 at its relaxed geometry. Source: Alexandria via LeMat-Bulk, functional PBE.

Results
Magnetic moment: 0.00 μB/cell
Crystal system: orthorhombic
Electronic total energy: -5.282 eV per atom
SG: No. 65
Formation energy from the elements: 0.2 kJ/mol of atoms

a b c (Å): 5.350 8.366 8.366
angles (deg): 113.04 90.00 90.00
Element x y z (fractional)
Nd1 0.500 0.686 0.946
Ru1 0.500 0.301 0.699
Nd2 0.500 0.946 0.686
Ru2 0.500 0.699 0.301
Cd1 0.000 0.000 0.000
Nd3 0.500 0.054 0.314
Nd4 0.500 0.314 0.054
Nd5 0.000 0.284 0.716
Nd6 0.000 0.716 0.284
Nd7 0.500 0.500 0.500

=====

2.
Crystalline Nd6Cd2Ru at its relaxed geometry. Source: Alexandria via LeMat-Bulk, functional PBE.

Results
Magnetic moment: 0.00 μB/cell
Crystal system: monoclinic
Electronic total energy: -4.549 eV per atom
SG: No. 14
Formation energy from the elements: -13.2 kJ/mol of atoms

a b c (Å): 7.185 7.446 10.770
angles (deg): 90.00 89.60 90.00
Element x y z (fractional)
Nd1 0.199 0.311 0.461
Cd1 0.037 0.579 0.249
Nd2 0.089 0.994 0.750
Cd2 0.963 0.421 0.751
Nd3 0.801 0.689 0.539
Nd4 0.185 0.300 0.038
Nd5 0.815 0.700 0.962
Nd6 0.301 0.811 0.039
Nd7 0.911 0.006 0.250
Nd8 0.589 0.506 0.250
Nd9 0.685 0.200 0.538
Cd3 0.463 0.079 0.251
Nd10 0.411 0.494 0.750
Cd4 0.537 0.921 0.749
Nd11 0.699 0.189 0.961
Ru1 0.500 0.500 0.000
Nd12 0.315 0.800 0.462
Ru2 0.000 0.000 0.500

=====

3.
Crystalline NdCdS2 at its relaxed geometry. Source: Alexandria via LeMat-Bulk, functional PBE.

Results
Magnetic moment: 0.00 μB/cell
Crystal system: trigonal
Electronic total energy: -4.650 eV per atom
SG: No. 166
Raw formation energy: -1.165 eV/atom

a b c (Å): 4.148 4.148 8.558
angles (deg): 75.97 75.97 60.00
Element x y z (fractional)
Nd1 0.500 0.500 0.500
S1 0.105 0.105 0.686
Cd1 0.000 0.000 0.000
S2 0.895 0.895 0.314

=====

4.
Crystalline Nd3Cd5S12 at its relaxed geometry. Source: Alexandria via LeMat-Bulk, functional PBE.

Results
Magnetic moment: 0.00 μB/cell
Crystal system: cubic
Electronic total energy: -4.217 eV per atom
SG: No. 230
Raw formation energy: -0.796 eV/atom

a b c (Å): 13.757 13.757 13.757
angles (deg): 109.47 109.47 109.47
Element x y z (fractional)
S1 0.278 0.865 0.951
S2 0.365 0.951 0.778
S3 0.587 0.722 0.673
S4 0.135 0.722 0.549
S5 0.587 0.865 0.414
Nd1 0.375 0.750 0.625
S6 0.722 0.135 0.049
Nd2 0.875 0.750 0.125
S7 0.327 0.778 0.413
S8 0.586 0.635 0.413
Nd3 0.750 0.375 0.125
S9 0.087 0.914 0.365
Nd4 0.125 0.250 0.875
S10 0.913 0.827 0.778
S11 0.086 0.913 0.135
Nd5 0.250 0.125 0.375
S12 0.414 0.049 0.327
S13 0.865 0.278 0.451
Cd1 0.750 0.625 0.375
Cd2 0.500 0.500 0.500
Nd6 0.750 0.875 0.625
S14 0.865 0.587 0.914
S15 0.914 0.087 0.865
Cd3 0.500 0.500 0.000
S16 0.673 0.222 0.587
S17 0.827 0.914 0.049
Cd4 0.625 0.875 0.250
S18 0.778 0.327 0.913
S19 0.222 0.549 0.635
Cd5 0.500 0.000 0.500
S20 0.278 0.413 0.827
S21 0.635 0.586 0.913
Cd6 0.375 0.125 0.750
Cd7 0.125 0.375 0.250
Cd8 0.500 0.000 0.000
S22 0.173 0.086 0.951
S23 0.414 0.365 0.587
S24 0.135 0.413 0.086
Cd9 0.750 0.125 0.875
Nd7 0.875 0.125 0.250
S25 0.951 0.586 0.173
S26 0.086 0.173 0.451
S27 0.951 0.365 0.278
S28 0.549 0.327 0.914
S29 0.365 0.414 0.087
Cd10 0.000 0.000 0.000
S30 0.673 0.451 0.586
S31 0.827 0.913 0.278
Cd11 0.875 0.625 0.750
Cd12 0.250 0.375 0.625
S32 0.413 0.278 0.327
S33 0.778 0.451 0.365
S34 0.327 0.549 0.414
Nd8 0.125 0.875 0.750
Nd9 0.625 0.250 0.375
S35 0.549 0.222 0.135
S36 0.451 0.673 0.086
Cd13 0.625 0.750 0.875
S37 0.914 0.827 0.549
Nd10 0.375 0.625 0.250
S38 0.913 0.086 0.635
S39 0.222 0.673 0.087
S40 0.586 0.951 0.673
S41 0.722 0.587 0.173
S42 0.049 0.414 0.827
S43 0.087 0.173 0.222
Cd14 0.875 0.250 0.625
S44 0.413 0.135 0.586
S45 0.173 0.087 0.722
S46 0.049 0.635 0.722
Cd15 0.000 0.500 0.000
Nd11 0.250 0.625 0.875
Cd16 0.250 0.875 0.125
Cd17 0.000 0.000 0.500
Nd12 0.625 0.375 0.750
Cd18 0.125 0.750 0.375
Cd19 0.000 0.500 0.500
S47 0.451 0.778 0.865
Cd20 0.375 0.250 0.125
S48 0.635 0.049 0.222

=====

5.
Crystalline NdCdS at its relaxed geometry. Source: Alexandria via LeMat-Bulk, functional PBE.

Results
Magnetic moment: 0.00 μB/cell
Crystal system: trigonal
Electronic total energy: -4.440 eV per atom
SG: No. 166
Raw formation energy: -1.170 eV/atom

a b c (Å): 4.839 4.839 8.273
angles (deg): 73.00 73.00 60.00
Element x y z (fractional)
Nd1 0.591 0.591 0.227
S1 0.714 0.714 0.857
S2 0.286 0.286 0.143
Cd1 0.833 0.833 0.501
Cd2 0.167 0.167 0.499
Nd2 0.409 0.409 0.773

=====

6.
Crystalline Nd3CdS at its relaxed geometry. Source: Alexandria via LeMat-Bulk, functional PBE.

Results
Magnetic moment: 0.00 μB/cell
Crystal system: cubic
Electronic total energy: -4.639 eV per atom
SG: No. 221
Raw formation energy: -0.769 eV/atom

a b c (Å): 5.404 5.404 5.404
angles (deg): 90.00 90.00 90.00
Element x y z (fractional)
Nd1 0.000 0.500 0.000
Cd1 0.500 0.500 0.500
Nd2 0.500 0.000 0.000
Nd3 0.000 0.000 0.500
S1 0.000 0.000 0.000

=====

7.
Crystalline Nd6CdSi2S14 at its relaxed geometry. Source: Alexandria via LeMat-Bulk, functional PBE.

Results
Magnetic moment: 0.00 μB/cell
Crystal system: trigonal
Electronic total energy: -5.868 eV per atom
SG: No. 143
Raw formation energy: -1.600 eV/atom

a b c (Å): 10.277 10.277 5.728
angles (deg): 90.00 90.00 120.00
Element x y z (fractional)
S1 0.333 0.667 0.047
S2 0.667 0.333 0.554
S3 0.477 0.886 0.534
S4 0.409 0.523 0.534
Nd1 0.642 0.765 0.267
Si1 0.333 0.667 0.679
Nd2 0.358 0.235 0.772
S5 0.912 0.744 0.288
S6 0.592 0.477 0.039
S7 0.114 0.591 0.534
Cd1 0.000 0.000 0.528
Si2 0.667 0.333 0.186
S8 0.256 0.169 0.288
S9 0.085 0.256 0.778
Nd3 0.878 0.642 0.772
S10 0.744 0.830 0.778
Nd4 0.235 0.877 0.267
Nd5 0.765 0.122 0.772
S11 0.885 0.408 0.039
Nd6 0.123 0.358 0.267
S12 0.523 0.115 0.039
S13 0.831 0.088 0.288
S14 0.170 0.915 0.778

=====

8.
Crystalline Sr3Nd3CdS8 at its relaxed geometry. Source: Alexandria via LeMat-Bulk, functional PBE.

Results
Magnetic moment: 0.00 μB/cell
Crystal system: trigonal
Electronic total energy: -5.393 eV per atom
SG: No. 166
Raw formation energy: -1.841 eV/atom

a b c (Å): 8.214 8.214 8.369
angles (deg): 119.39 90.00 120.00
Element x y z (fractional)
S1 0.240 0.989 0.729
S2 0.760 0.011 0.271
S3 0.760 0.520 0.271
Nd1 0.500 0.000 0.500
S4 0.749 0.989 0.729
Sr1 0.000 0.000 0.000
S5 0.251 0.011 0.271
S6 0.254 0.508 0.261
S7 0.746 0.492 0.739
Sr2 0.500 0.500 0.000
S8 0.240 0.480 0.729
Nd2 0.500 0.500 0.500
Sr3 0.000 0.500 0.000
Cd1 0.000 0.000 0.500
Nd3 0.000 0.500 0.500

=====

9.
Crystalline Nd12Cd6Sb at its relaxed geometry. Source: Alexandria via LeMat-Bulk, functional PBE.

Results
Magnetic moment: 0.01 μB/cell
Crystal system: trigonal
Electronic total energy: -3.692 eV per atom
SG: No. 148
Raw formation energy: -0.175 eV/atom

a b c (Å): 8.324 8.324 8.324
angles (deg): 89.29 89.29 89.29
Element x y z (fractional)
Nd1 0.855 0.631 0.979
Cd1 0.113 0.734 0.267
Nd2 0.194 0.472 0.554
Nd3 0.806 0.528 0.446
Nd4 0.472 0.554 0.194
Nd5 0.979 0.855 0.631
Nd6 0.631 0.979 0.855
Cd2 0.887 0.266 0.733
Nd7 0.145 0.369 0.021
Cd3 0.733 0.887 0.266
Nd8 0.021 0.145 0.369
Sb1 0.000 0.000 0.000
Nd9 0.446 0.806 0.528
Cd4 0.266 0.733 0.887
Nd10 0.369 0.021 0.145
Nd11 0.528 0.446 0.806
Cd5 0.734 0.267 0.113
Cd6 0.267 0.113 0.734
Nd12 0.554 0.194 0.472

=====

10.
Crystalline Nd5CdSb2 at its relaxed geometry. Source: Alexandria via LeMat-Bulk, functional PBE.

Results
Magnetic moment: 0.00 μB/cell
Crystal system: orthorhombic
Electronic total energy: -4.510 eV per atom
SG: No. 63
Raw formation energy: -0.385 eV/atom

a b c (Å): 5.980 6.559 15.432
angles (deg): 90.00 90.00 117.12
Element x y z (fractional)
Nd1 0.077 0.154 0.106
Sb1 0.804 0.608 0.407
Nd2 0.362 0.724 0.750
Nd3 0.620 0.239 0.557
Nd4 0.380 0.761 0.057
Nd5 0.923 0.846 0.894
Nd6 0.638 0.276 0.250
Cd1 0.310 0.620 0.250
Nd7 0.923 0.846 0.606
Nd8 0.077 0.154 0.394
Sb2 0.196 0.392 0.907
Sb3 0.804 0.608 0.093
Nd9 0.380 0.761 0.443
Nd10 0.620 0.239 0.943
Sb4 0.196 0.392 0.593
Cd2 0.690 0.380 0.750

=====

11.
Crystalline NdCd2Sb at its relaxed geometry. Source: Alexandria via LeMat-Bulk, functional PBE.

Results
Magnetic moment: 0.00 μB/cell
Crystal system: tetragonal
Electronic total energy: -3.188 eV per atom
SG: No. 123
Raw formation energy: -0.508 eV/atom

a b c (Å): 5.133 4.519 4.519
angles (deg): 90.00 90.00 90.00
Element x y z (fractional)
Nd1 0.500 0.000 0.000
Cd1 0.000 0.500 0.000
Sb1 0.500 0.500 0.500
Cd2 0.000 0.000 0.500

=====

12.
Crystalline NdCd2Sb at its relaxed geometry. Source: Alexandria via LeMat-Bulk, functional PBE.

Results
Magnetic moment: 0.00 μB/cell
Crystal system: trigonal
Electronic total energy: -2.499 eV per atom
SG: No. 166
Raw formation energy: 0.181 eV/atom

a b c (Å): 3.378 3.378 11.802
angles (deg): 81.77 81.77 60.00
Element x y z (fractional)
Sb1 0.500 0.500 0.500
Cd1 0.909 0.909 0.273
Cd2 0.091 0.091 0.727
Nd1 0.000 0.000 0.000

=====

13.
Crystalline Nd3CdSb at its relaxed geometry. Source: Alexandria via LeMat-Bulk, functional PBE.

Results
Magnetic moment: 0.45 μB/cell
Crystal system: triclinic
Electronic total energy: -4.371 eV per atom
SG: No. 2
Raw formation energy: -0.503 eV/atom

a b c (Å): 4.246 8.400 9.162
angles (deg): 92.71 90.05 104.70
Element x y z (fractional)
Nd1 0.262 0.557 0.037
Nd2 0.614 0.263 0.789
Nd3 0.979 0.990 0.021
Sb1 0.416 0.865 0.276
Sb2 0.628 0.289 0.145
Cd1 0.818 0.667 0.794
Cd2 0.226 0.487 0.628
Nd4 0.430 0.891 0.632
Nd5 0.782 0.597 0.384
Nd6 0.065 0.164 0.401

=====

14.
Crystalline NdCdSbSe at its relaxed geometry. Source: Alexandria via LeMat-Bulk, functional PBE.

Results
Magnetic moment: 0.00 μB/cell
Crystal system: tetragonal
Electronic total energy: -4.176 eV per atom
SG: No. 129
Raw formation energy: -0.854 eV/atom

a b c (Å): 4.767 4.767 9.894
angles (deg): 90.00 90.00 90.00
Element x y z (fractional)
Se1 0.000 0.000 0.500
Nd1 0.000 0.500 0.332
Cd1 0.500 0.500 0.000
Sb1 0.000 0.500 0.811
Se2 0.500 0.500 0.500
Nd2 0.500 0.000 0.668
Sb2 0.500 0.000 0.189
Cd2 0.000 0.000 0.000

=====

15.
Crystalline NdSmCdSb at its relaxed geometry. Source: Alexandria via LeMat-Bulk, functional PBE.

Results
Magnetic moment: 0.00 μB/cell
Crystal system: cubic
Electronic total energy: -4.208 eV per atom
SG: No. 216
Raw formation energy: -0.577 eV/atom

a b c (Å): 5.425 5.425 5.425
angles (deg): 60.00 60.00 60.00
Element x y z (fractional)
Cd1 0.750 0.750 0.750
Sm1 0.500 0.500 0.500
Sb1 0.250 0.250 0.250
Nd1 0.000 0.000 0.000

=====

16.
Crystalline Nd4ScCd at its relaxed geometry. Source: Alexandria via LeMat-Bulk, functional PBE.

Results
Magnetic moment: 0.00 μB/cell
Crystal system: tetragonal
Electronic total energy: -3.896 eV per atom
SG: No. 109
Energy relative to the lowest polymorph listed for this composition: 0.564 eV/atom
Formation energy from the elements: 47.3 kJ/mol of atoms

a b c (Å): 8.390 8.390 8.390
angles (deg): 113.88 113.88 100.97
Element x y z (fractional)
Nd1 0.750 0.078 0.327
Nd2 0.828 0.000 0.827
Nd3 0.246 0.936 0.690
Nd4 0.307 0.496 0.810
Nd5 0.750 0.423 0.673
Cd1 0.494 0.994 0.500
Sc1 0.012 0.512 0.500
Nd6 0.173 0.000 0.173
Nd7 0.686 0.496 0.190
Cd2 0.744 0.744 0.000
Nd8 0.246 0.557 0.310
Sc2 0.262 0.262 0.000

=====

17.
Crystalline NdSc3Cd at its relaxed geometry. Source: Alexandria via LeMat-Bulk, functional PBE.

Results
Magnetic moment: 0.00 μB/cell
Crystal system: orthorhombic
Electronic total energy: -4.952 eV per atom
SG: No. 63
Formation energy from the elements: -1.6 kJ/mol of atoms

a b c (Å): 5.378 6.718 7.849
angles (deg): 90.00 110.03 90.00
Element x y z (fractional)
Sc1 0.132 0.750 0.264
Sc2 0.312 0.003 0.625
Cd1 0.510 0.750 0.020
Sc3 0.868 0.250 0.736
Cd2 0.490 0.250 0.980
Nd1 0.111 0.250 0.223
Sc4 0.688 0.997 0.375
Sc5 0.312 0.497 0.625
Nd2 0.889 0.750 0.777
Sc6 0.688 0.503 0.375

=====

18.
Crystalline Nd14ScCd at its relaxed geometry. Source: Alexandria via LeMat-Bulk, functional PBE.

Results
Magnetic moment: 0.00 μB/cell
Crystal system: tetragonal
Electronic total energy: -4.633 eV per atom
SG: No. 123
Formation energy from the elements: -0.8 kJ/mol of atoms

a b c (Å): 7.203 7.203 10.305
angles (deg): 90.00 90.00 90.00
Element x y z (fractional)
Nd1 0.626 0.374 0.243
Nd2 0.626 0.876 0.757
Nd3 0.124 0.374 0.757
Nd4 0.875 0.125 0.500
Nd5 0.626 0.876 0.243
Cd1 0.375 0.625 0.000
Nd6 0.124 0.374 0.243
Nd7 0.375 0.125 0.500
Nd8 0.874 0.625 0.000
Nd9 0.626 0.374 0.757
Sc1 0.875 0.125 0.000
Nd10 0.124 0.876 0.757
Nd11 0.875 0.625 0.500
Nd12 0.375 0.126 0.000
Nd13 0.375 0.625 0.500
Nd14 0.124 0.876 0.243

=====

19.
Crystalline Nd6ScCd at its relaxed geometry. Source: Alexandria via LeMat-Bulk, functional PBE.

Results
Magnetic moment: 0.00 μB/cell
Crystal system: tetragonal
Electronic total energy: -4.516 eV per atom
SG: No. 123
Energy relative to the lowest polymorph listed for this composition: 0.000 eV/atom
Formation energy from the elements: -3.3 kJ/mol of atoms

a b c (Å): 5.001 5.001 10.147
angles (deg): 90.00 90.00 90.00
Element x y z (fractional)
Nd1 0.000 0.500 0.250
Nd2 0.500 0.500 0.500
Sc1 0.000 0.000 0.500
Nd3 0.500 0.500 0.000
Nd4 0.000 0.500 0.750
Cd1 0.000 0.000 0.000
Nd5 0.500 0.000 0.250
Nd6 0.500 0.000 0.750